No. 1
ZrSi2OsRh: optimized geometry, PBE-GGA.

E_tot, eV for the cell shown: -35.80

Cell: 4.481 4.481 5.160 Å, 90.00 90.00 90.00°
Space group P4/mmm (No. 123)
Asymmetric unit:
Zr (0.000, 0.000, 0.000) [1 per cell]
Si (0.000, 0.500, 0.500) [2 per cell]
Os (0.000, 0.000, 0.500) [1 per cell]
Rh (0.500, 0.500, 0.000) [1 per cell]

---

No. 2
SrIn2Os: optimized geometry, PBE-GGA.

E_tot, eV for the cell shown: -31.96
ΔE_f, eV/atom: 0.60

Cell: 6.094 9.715 3.112 Å, 90.00 90.00 90.00°
Space group Cmmm (No. 65)
Asymmetric unit:
Sr (0.000, 0.000, 0.000) [2 per cell]
In (0.250, 0.250, 0.500) [4 per cell]
Os (0.000, 0.500, 0.000) [2 per cell]

---

No. 3
NaMg2TlCu: optimized geometry, PBE-GGA.

E_tot, eV for the cell shown: -10.51
ΔE_f, eV/atom: 0.09

Cell: 5.029 5.029 5.150 Å, 90.00 90.00 90.00°
Space group P4/mmm (No. 123)
Asymmetric unit:
Na (0.000, 0.000, 0.000) [1 per cell]
Mg (0.000, 0.500, 0.500) [2 per cell]
Tl (0.500, 0.500, 0.000) [1 per cell]
Cu (0.500, 0.500, 0.500) [1 per cell]

---

No. 4
Ca2MgAl2Pt5: optimized geometry, PBE-GGA.

E_tot, eV for the cell shown: -104.81
ΔE_f, eV/atom: -0.91

Cell: 9.950 9.950 3.626 Å, 90.00 90.00 90.00°
Space group P4/mbm (No. 127)
Asymmetric unit:
Ca (0.175, 0.325, 0.000) [4 per cell]
Mg (0.000, 0.000, 0.000) [2 per cell]
Al (0.125, 0.625, 0.000) [4 per cell]
Pt (0.000, 0.500, 0.500) [2 per cell]
Pt (0.066, 0.793, 0.500) [8 per cell]

---

No. 5
BaGa12: optimized geometry, PBE-GGA.

E_tot, eV for the cell shown: -37.61
ΔE_f, eV/atom: 0.05

Cell: 7.169 7.169 7.169 Å, 90.00 90.00 90.00°
Space group Pm-3m (No. 221)
Asymmetric unit:
Ba (0.000, 0.000, 0.000) [1 per cell]
Ga (0.000, 0.252, 0.500) [12 per cell]

---

No. 6
DyThNi4: optimized geometry, PBE-GGA.

E_tot, eV for the cell shown: -150.14
Excess energy over the best structure of this formula in the dataset, meV/atom: 70.8
ΔE_f, eV/atom: -0.40

Cell: 7.251 7.251 7.251 Å, 90.00 90.00 90.00°
Space group F-43m (No. 216)
Asymmetric unit:
Dy (0.000, 0.000, 0.000) [4 per cell]
Th (0.250, 0.250, 0.250) [4 per cell]
Ni (0.125, 0.125, 0.625) [16 per cell]